Record 1
Here is a relaxed structure of K2Si7Au12 from Alexandria via LeMat-Bulk. Energies are from PBE.

Raw formation energy: -1.46 eV/f.u.
Fermi-level density of states: 7.38 states/eV/cell
Raw total energy: -3.85 eV per atom
Volume: 403.5 Å³/f.u.

a = 10.1336 Å, b = 10.1336 Å, c = 4.5367 Å
α = 90.00°, β = 90.00°, γ = 120.00°
With the nearest neighbours (Å) after each atom.
Space group P-3 (No. 147)
Asymmetric unit:
K: 0.3333 0.6667 0.2390  12 Au 3.35-3.60, 6 Si 3.35-3.48
Si: 0.0000 0.0000 0.5000  6 Au 2.62
Si: 0.1072 0.7124 0.7177  5 Au 2.49-2.72
Au: 0.0633 0.4477 0.7508  3 Si 2.49-2.71
Au: 0.1195 0.2566 0.2069  3 Si 2.49-2.72

=====

Record 2
Here is a relaxed structure of K2PmTiTe4 from Alexandria via LeMat-Bulk. Energies are from PBE.

Raw formation energy: -8.62 eV/f.u.
Fermi-level density of states: 5.27 states/eV/cell
Raw total energy: -4.50 eV per atom
Volume: 274.2 Å³/f.u.

a = 7.5931 Å, b = 4.3815 Å, c = 8.6189 Å
α = 90.00°, β = 106.98°, γ = 90.00°
With the nearest neighbours (Å) after each atom.
Space group P2/m (No. 10)
Asymmetric unit:
K: 0.0000 0.0000 0.0000  6 Te 3.62-3.63
K: 0.5000 0.5000 0.0000  6 Te 3.43-3.45
Pm: 0.0000 0.5000 0.5000  6 Te 3.13-3.14
Ti: 0.5000 0.0000 0.5000  6 Te 2.91-2.93
Te: 0.2588 0.0000 0.7082  1 Ti 2.91, 2 Pm 3.13
Te: 0.2909 0.5000 0.3052  2 Ti 2.93, 1 Pm 3.14

=====

Record 3
Here is a relaxed structure of HgPdPbF6 from Alexandria via LeMat-Bulk. Energies are from PBE.

Raw formation energy: -14.38 eV/f.u.
Raw total energy: -3.87 eV per atom
Volume: 150.9 Å³/f.u.

a = 6.1007 Å, b = 6.1007 Å, c = 9.3604 Å
α = 90.00°, β = 90.00°, γ = 120.00°
With the nearest neighbours (Å) after each atom.
Space group P-31c (No. 163)
Asymmetric unit:
Hg: 0.0000 0.0000 0.0000  6 F 2.37
Pd: 0.3333 0.6667 0.2500  6 F 2.21
Pb: 0.3333 0.6667 0.7500  6 F 2.47
F: 0.0328 0.3527 0.1252  1 Pd 2.21, 1 Hg 2.37, 1 Pb 2.47

=====

Record 4
Here is a relaxed structure of Cr3W from Alexandria via LeMat-Bulk. Energies are from PBE.

Fermi-level density of states: 5.93 states/eV/cell
Raw total energy: -10.40 eV per atom
Formation energy: 0.06 eV per atom
Volume: 51.4 Å³/f.u.

a = 2.9656 Å, b = 4.1770 Å, c = 8.3003 Å
α = 90.00°, β = 90.00°, γ = 90.00°
With the nearest neighbours (Å) after each atom.
Space group Immm (No. 71)
Asymmetric unit:
Cr: 0.0000 0.0000 0.0000  4 Cr 2.52, 4 W 2.56
Cr: 0.0000 0.5000 0.2538  6 Cr 2.52-2.56, 2 W 2.58
W: 0.0000 0.0000 0.5000  8 Cr 2.56-2.58

=====

Record 5
Here is a relaxed structure of CsBa2PbO4 from Alexandria via LeMat-Bulk. Energies are from PBE.

Raw formation energy: -12.89 eV/f.u.
Fermi-level density of states: 8.81 states/eV/cell
Raw total energy: -5.14 eV per atom
Volume: 177.5 Å³/f.u.

a = 7.8151 Å, b = 8.0356 Å, c = 11.3045 Å
α = 90.00°, β = 90.00°, γ = 90.00°
With the nearest neighbours (Å) after each atom.
Space group Imma (No. 74)
Asymmetric unit:
Cs: 0.2500 0.2500 0.2500  6 O 2.96-3.00
Ba: 0.0000 0.0000 0.0000  4 O 2.71
Ba: 0.2500 0.2500 0.7500  6 O 2.70-2.71
Pb: 0.0000 0.0000 0.5000  2 O 2.32
O: 0.0000 0.0254 0.7047  1 Pb 2.32
O: 0.2325 0.2500 0.9888  3 Ba 2.70-2.71, 2 Pb 2.90, 1 Cs 2.96

=====

Record 6
Here is a relaxed structure of ScAl4Sb from Alexandria via LeMat-Bulk. Energies are from PBE.

Raw formation energy: -0.93 eV/f.u.
Fermi-level density of states: 20.87 states/eV/cell
Raw total energy: -4.39 eV per atom
Volume: 113.9 Å³/f.u.

a = 7.6951 Å, b = 7.6951 Å, c = 7.6951 Å
α = 90.00°, β = 90.00°, γ = 90.00°
With the nearest neighbours (Å) after each atom.
Space group F-43m (No. 216)
Asymmetric unit:
Sc: 0.0000 0.0000 0.0000  12 Al 3.19, 4 Sb 3.33
Al: 0.1257 0.1257 0.6257  6 Al 2.71-2.73
Sb: 0.2500 0.2500 0.2500  12 Al 3.19, 4 Sc 3.33

=====

Record 7
Here is a relaxed structure of InMo2Pt from Alexandria via LeMat-Bulk. Energies are from PBE.

Fermi-level density of states: 6.67 states/eV/cell
Raw total energy: -7.50 eV per atom
Formation energy: 0.11 eV per atom
Volume: 67.0 Å³/f.u.

a = 5.4144 Å, b = 8.8775 Å, c = 2.7895 Å
α = 90.00°, β = 90.00°, γ = 90.00°
With the nearest neighbours (Å) after each atom.
Space group Cmmm (No. 65)
Asymmetric unit:
In: 0.0000 0.0000 0.0000  2 Pt 2.71, 2 In 2.79, 8 Mo 2.95
Mo: 0.2500 0.2500 0.5000  4 Mo 2.71-2.79, 4 In 2.95, 4 Pt 2.95
Pt: 0.0000 0.5000 0.0000  2 In 2.71, 2 Pt 2.79, 8 Mo 2.95

=====

Record 8
Here is a relaxed structure of AlCr4C from Alexandria via LeMat-Bulk. Energies are from PBE.

Fermi-level density of states: 6.24 states/eV/cell
Raw total energy: -8.51 eV per atom
Formation energy: 0.07 eV per atom
Volume: 69.1 Å³/f.u.

a = 4.1301 Å, b = 2.7164 Å, c = 6.4465 Å
α = 90.00°, β = 107.28°, γ = 90.00°
With the nearest neighbours (Å) after each atom.
Space group P2/m (No. 10)
Asymmetric unit:
Al: 0.0000 0.0000 0.0000  6 Cr 2.46-2.75, 2 Al 2.72
Cr: 0.1677 0.0000 0.3996  2 C 1.90
Cr: 0.4039 0.5000 0.8001  1 C 2.09
C: 0.5000 0.5000 0.5000  6 Cr 1.90-2.09

=====

Record 9
Here is a relaxed structure of Li4Sm5Hg4 from Alexandria via LeMat-Bulk. Energies are from PBE.

Fermi-level density of states: 23.94 states/eV/cell
Raw total energy: -2.80 eV per atom
Formation energy: -0.30 eV per atom
Volume: 328.4 Å³/f.u.

a = 11.6163 Å, b = 11.6163 Å, c = 4.8674 Å
α = 90.00°, β = 90.00°, γ = 90.00°
With the nearest neighbours (Å) after each atom.
Space group I4/m (No. 87)
Asymmetric unit:
Li: 0.0715 0.3974 0.0000  3 Hg 2.70-2.92, 1 Li 2.91
Sm: 0.0000 0.0000 0.5000  4 Hg 3.09
Sm: 0.1279 0.7991 0.0000  5 Hg 3.10-3.33, 1 Li 3.25
Hg: 0.0571 0.2600 0.5000  3 Li 2.70-2.92

=====

Record 10
Here is a relaxed structure of RbCd2Hg2 from Alexandria via LeMat-Bulk. Energies are from PBE.

Fermi-level density of states: 4.63 states/eV/cell
Raw total energy: -0.82 eV per atom
Energy above the lowest structure with this stoichiometry: 0.000 eV per atom
Formation energy: -0.14 eV per atom
Volume: 157.9 Å³/f.u.

a = 4.9212 Å, b = 4.9212 Å, c = 13.0433 Å
α = 90.00°, β = 90.00°, γ = 90.00°
With the nearest neighbours (Å) after each atom.
Space group I4/mmm (No. 139)
Asymmetric unit:
Rb: 0.0000 0.0000 0.0000  8 Hg 3.79, 8 Cd 4.09
Cd: 0.0000 0.5000 0.2500  4 Hg 3.02
Hg: 0.0000 0.0000 0.3840  4 Cd 3.02, 1 Hg 3.03

=====

Record 11
Here is a relaxed structure of CsZrSb2W from Alexandria via LeMat-Bulk. Energies are from PBE.

Raw formation energy: 2.75 eV/f.u.
Fermi-level density of states: 4.91 states/eV/cell
Raw total energy: -5.57 eV per atom
Volume: 155.0 Å³/f.u.

a = 5.4135 Å, b = 5.4135 Å, c = 5.2890 Å
α = 90.00°, β = 90.00°, γ = 90.00°
With the nearest neighbours (Å) after each atom.
Space group P4/mmm (No. 123)
Asymmetric unit:
Cs: 0.0000 0.0000 0.0000  8 Sb 3.78, 4 Zr 3.83
Zr: 0.5000 0.5000 0.0000  2 W 2.64
Sb: 0.0000 0.5000 0.5000  2 W 2.71
W: 0.5000 0.5000 0.5000  2 Zr 2.64, 4 Sb 2.71

=====

Record 12
Here is a relaxed structure of CrInAg3 from Alexandria via LeMat-Bulk. Energies are from PBE.

Fermi-level density of states: 2.30 states/eV/cell
Raw total energy: -3.32 eV per atom
Energy above the lowest structure with this stoichiometry: 0.000 eV per atom
Formation energy: 0.87 eV per atom
Volume: 130.7 Å³/f.u.

a = 5.0751 Å, b = 5.0751 Å, c = 5.0751 Å
α = 90.00°, β = 90.00°, γ = 90.00°
With the nearest neighbours (Å) after each atom.
Space group Pm-3m (No. 221)
Asymmetric unit:
Cr: 0.0000 0.0000 0.0000  6 Ag 2.54
In: 0.5000 0.5000 0.5000  12 Ag 3.59
Ag: 0.0000 0.0000 0.5000  2 Cr 2.54

=====

Record 13
Here is a relaxed structure of BeHg2Mo from Alexandria via LeMat-Bulk. Energies are from PBE.

Fermi-level density of states: 9.09 states/eV/cell
Raw total energy: -2.93 eV per atom
Formation energy: 0.86 eV per atom
Volume: 69.9 Å³/f.u.

a = 6.5384 Å, b = 6.5384 Å, c = 6.5384 Å
α = 90.00°, β = 90.00°, γ = 90.00°
With the nearest neighbours (Å) after each atom.
Space group F-43m (No. 216)
Asymmetric unit:
Be: 0.0000 0.0000 0.0000  4 Mo 2.83, 4 Hg 2.83
Hg: 0.0000 0.0000 0.5000  4 Hg 2.83, 4 Mo 2.83
Hg: 0.2500 0.2500 0.2500  4 Be 2.83, 4 Hg 2.83
Mo: 0.2500 0.2500 0.7500  4 Hg 2.83, 4 Be 2.83

=====

Record 14
Here is a relaxed structure of ZnRuSe2Br from Alexandria via LeMat-Bulk. Energies are from PBE.

Raw formation energy: 4.37 eV/f.u.
Fermi-level density of states: 5.32 states/eV/cell
Raw total energy: -2.96 eV per atom
Energy above the lowest structure with this stoichiometry: 0.550 eV per atom
Volume: 122.9 Å³/f.u.

a = 4.8754 Å, b = 4.8754 Å, c = 5.1709 Å
α = 90.00°, β = 90.00°, γ = 90.00°
With the nearest neighbours (Å) after each atom.
Space group P4/mmm (No. 123)
Asymmetric unit:
Zn: 0.0000 0.0000 0.0000  4 Se 2.44, 2 Br 2.59
Ru: 0.5000 0.5000 0.5000  4 Br 3.45, 8 Se 3.55
Se: 0.0000 0.5000 0.0000  2 Zn 2.44
Br: 0.0000 0.0000 0.5000  2 Zn 2.59

=====

Record 15
Here is a relaxed structure of Hg2PbBr2 from Alexandria via LeMat-Bulk. Energies are from PBE.

Raw formation energy: -1.69 eV/f.u.
Fermi-level density of states: 0.00 states/eV/cell
Raw total energy: -1.87 eV per atom
Energy above the lowest structure with this stoichiometry: 0.176 eV per atom
Volume: 210.2 Å³/f.u.

a = 7.8822 Å, b = 7.8822 Å, c = 6.7662 Å
α = 90.00°, β = 90.00°, γ = 90.00°
With the nearest neighbours (Å) after each atom.
Space group P4/mbm (No. 127)
Asymmetric unit:
Hg: 0.1491 0.3509 0.0000  1 Hg 3.33
Pb: 0.0000 0.0000 0.5000  4 Br 2.93
Br: 0.1678 0.6678 0.5000  2 Pb 2.93

=====

Record 16
Here is a relaxed structure of K2LaAs2S6 from Alexandria via LeMat-Bulk. Energies are from PBE.

Raw formation energy: -9.49 eV/f.u.
Fermi-level density of states: 7.98 states/eV/cell
Raw total energy: -4.61 eV per atom
Volume: 326.6 Å³/f.u.

a = 11.9989 Å, b = 7.2368 Å, c = 8.5454 Å
α = 90.00°, β = 118.33°, γ = 90.00°
With the nearest neighbours (Å) after each atom.
Space group C2/m (No. 12)
Asymmetric unit:
K: 0.2014 0.0000 0.1795  5 S 3.27-3.40
La: 0.0000 0.0000 0.5000  6 S 2.81-2.91
As: 0.0423 0.5000 0.1857  3 S 2.23
S: 0.0600 0.2502 0.7967  1 As 2.23
S: 0.2414 0.5000 0.4058  1 As 2.23

=====

Record 17
Here is a relaxed structure of Sm3In from Alexandria via LeMat-Bulk. Energies are from PBE.

Fermi-level density of states: 22.58 states/eV/cell
Raw total energy: -4.35 eV per atom
Energy above the lowest structure with this stoichiometry: 0.142 eV per atom
Formation energy: -0.13 eV per atom
Volume: 121.0 Å³/f.u.

a = 7.8523 Å, b = 7.8523 Å, c = 7.8523 Å
α = 90.00°, β = 90.00°, γ = 90.00°
With the nearest neighbours (Å) after each atom.
Space group Fm-3m (No. 225)
Asymmetric unit:
Sm: 0.0000 0.0000 0.0000  8 Sm 3.40
Sm: 0.2500 0.2500 0.2500  4 In 3.40, 4 Sm 3.40
In: 0.0000 0.0000 0.5000  8 Sm 3.40

=====

Record 18
Here is a relaxed structure of VReI3 from Alexandria via LeMat-Bulk. Energies are from PBE.

Raw formation energy: 5.69 eV/f.u.
Fermi-level density of states: 4.00 states/eV/cell
Raw total energy: -4.11 eV per atom
Energy above the lowest structure with this stoichiometry: 0.000 eV per atom
Volume: 175.7 Å³/f.u.

a = 5.6005 Å, b = 5.6005 Å, c = 5.6005 Å
α = 90.00°, β = 90.00°, γ = 90.00°
With the nearest neighbours (Å) after each atom.
Space group Pm-3m (No. 221)
Asymmetric unit:
V: 0.0000 0.0000 0.0000  6 I 2.80
Re: 0.5000 0.5000 0.5000  12 I 3.96
I: 0.0000 0.0000 0.5000  2 V 2.80

=====

Record 19
Here is a relaxed structure of TbPr6Sc3 from Alexandria via LeMat-Bulk. Energies are from PBE.

Fermi-level density of states: 55.06 states/eV/cell
Raw total energy: -5.06 eV per atom
Formation energy: 0.17 eV per atom
Volume: 327.3 Å³/f.u.

a = 9.8302 Å, b = 9.8302 Å, c = 11.7323 Å
α = 90.00°, β = 90.00°, γ = 120.00°
With the nearest neighbours (Å) after each atom.
Space group R32 (No. 155, hexagonal axes)
Asymmetric unit:
Tb: 0.0000 0.0000 0.0000  2 Sc 3.02, 3 Pr 3.31
Pr: 0.0000 0.3372 0.0000  1 Tb 3.31, 2 Sc 3.38
Pr: 0.0001 0.6667 0.1667  3 Sc 3.28-3.45
Sc: 0.0000 0.0000 0.2578  1 Sc 2.84, 1 Tb 3.02
Sc: 0.0000 0.0000 0.5000  2 Sc 2.84

=====

Record 20
Here is a relaxed structure of Ac3Cd2Hg4 from Alexandria via LeMat-Bulk. Energies are from PBE.

Fermi-level density of states: 14.07 states/eV/cell
Raw total energy: -2.14 eV per atom
Formation energy: -0.43 eV per atom
Volume: 265.3 Å³/f.u.

a = 11.7741 Å, b = 5.1671 Å, c = 9.6866 Å
α = 90.00°, β = 115.79°, γ = 90.00°
With the nearest neighbours (Å) after each atom.
Space group C2/m (No. 12)
Asymmetric unit:
Ac: 0.0000 0.0000 0.0000  8 Hg 3.49-3.61, 4 Cd 3.59, 2 Ac 3.86
Ac: 0.1625 0.5000 0.6712  8 Hg 3.47-3.60, 4 Cd 3.50-3.55, 2 Ac 3.82-3.86
Cd: 0.1171 0.5000 0.2849  3 Hg 2.94-2.96
Hg: 0.0683 0.0000 0.3975  2 Cd 2.96, 1 Hg 3.05
Hg: 0.2145 0.5000 0.0523  1 Cd 2.94, 2 Hg 3.02

=====

Record 21
Here is a relaxed structure of YCr2W from Alexandria via LeMat-Bulk. Energies are from PBE.

Fermi-level density of states: 4.21 states/eV/cell
Raw total energy: -9.16 eV per atom
Energy above the lowest structure with this stoichiometry: 0.128 eV per atom
Formation energy: 0.50 eV per atom
Volume: 69.9 Å³/f.u.

a = 3.0420 Å, b = 3.6329 Å, c = 6.4177 Å
α = 90.00°, β = 99.82°, γ = 90.00°
With the nearest neighbours (Å) after each atom.
Space group Pm (No. 6)
Asymmetric unit:
Y: 0.0000 0.0000 0.0000  6 Cr 3.02-3.34, 2 Y 3.04, 4 W 3.19
Cr: 0.5678 0.5000 0.3129  2 Cr 2.25, 1 W 2.41
Cr: 0.9038 0.0000 0.4738  2 Cr 2.25, 2 W 2.50
W: 0.3763 0.5000 0.6622  3 Cr 2.41-2.50

=====

Record 22
Here is a relaxed structure of Na2TiRu from Alexandria via LeMat-Bulk. Energies are from PBE.

Fermi-level density of states: 8.80 states/eV/cell
Raw total energy: -4.44 eV per atom
Energy above the lowest structure with this stoichiometry: 0.000 eV per atom
Formation energy: 0.51 eV per atom
Volume: 75.4 Å³/f.u.

a = 3.6379 Å, b = 3.6379 Å, c = 22.7936 Å
α = 90.00°, β = 90.00°, γ = 90.00°
With the nearest neighbours (Å) after each atom.
Space group I-42d (No. 122)
Asymmetric unit:
Na: 0.2412 0.2500 0.1250  4 Na 2.53-2.62
Ti: 0.0000 0.0000 0.5000  4 Ru 2.57
Ru: 0.0000 0.0000 0.0000  4 Ti 2.57

=====

Record 23
Here is a relaxed structure of Li3Ca2Cd from Alexandria via LeMat-Bulk. Energies are from PBE.

Fermi-level density of states: 9.52 states/eV/cell
Raw total energy: -1.92 eV per atom
Energy above the lowest structure with this stoichiometry: 0.000 eV per atom
Formation energy: -0.14 eV per atom
Volume: 155.6 Å³/f.u.

a = 10.4657 Å, b = 5.9481 Å, c = 6.0885 Å
α = 90.00°, β = 124.81°, γ = 90.00°
With the nearest neighbours (Å) after each atom.
Space group C2/m (No. 12)
Asymmetric unit:
Li: 0.0000 0.0000 0.0000  4 Li 3.01, 2 Cd 3.04
Li: 0.2500 0.2500 0.0000  4 Li 2.97-3.01, 2 Cd 3.04
Ca: 0.1259 0.5000 0.3791  3 Cd 3.50-3.55, 9 Li 3.53-3.57, 4 Ca 3.66-3.79
Cd: 0.0000 0.0000 0.5000  6 Li 3.04

=====

Record 24
Here is a relaxed structure of K2ErCd3F12 from Alexandria via LeMat-Bulk. Energies are from PBE.

Raw formation energy: -46.71 eV/f.u.
Fermi-level density of states: 36.80 states/eV/cell
Raw total energy: -4.37 eV per atom
Volume: 368.4 Å³/f.u.

a = 7.8970 Å, b = 7.8970 Å, c = 20.4644 Å
α = 90.00°, β = 90.00°, γ = 120.00°
With the nearest neighbours (Å) after each atom.
Space group R-3m (No. 166, hexagonal axes)
Asymmetric unit:
K: 0.0000 0.0000 0.0914  3 F 2.92
Er: 0.0000 0.0000 0.5000  6 F 2.16
Cd: 0.0000 0.5000 0.0000  6 F 2.20-2.24
F: 0.0446 0.5223 0.3580  2 Cd 2.20
F: 0.0746 0.5373 0.1065  1 Er 2.16, 1 Cd 2.24